In2CoPbO6, optimized geometry, DFT GGA+U; electronic total energy = -55.45 eV/f.u.
1.0
2.753 1.590 4.889
-2.753 1.590 4.889
0.000 -3.179 4.889
In Co Pb O
2 1 1 6
Direct
0.000 0.000 0.000
0.483 0.483 0.483
0.691 0.691 0.691
0.215 0.215 0.215
0.061 0.786 0.432
0.326 0.623 0.865
0.432 0.061 0.786
0.623 0.865 0.326
0.786 0.432 0.061
0.865 0.326 0.623